(1)
A relaxed structure of PaInNiIr, computed with PBE-GGA.

abc: 6.6943 6.6943 6.6943
angles: 90.00 90.00 90.00
Space group F-43m (No. 216)
Inequivalent atoms, fractional coordinates:
Pa  0.0000  0.0000  0.0000 [4 per cell]
In  0.0000  0.0000  0.5000 [4 per cell]
Ni  0.2500  0.2500  0.2500 [4 per cell]
Ir  0.2500  0.2500  0.7500 [4 per cell]

## Properties
Calculated formation energy   -0.41 eV/atom
DOS(E_F)   0.77 states/eV per atom
Calculated density   13.2 Mg/m³
DFT total energy   -7.127 eV/atom
Total magnetization   0.0 μB per formula unit

(2)
A relaxed structure of PmInNiIr, computed with PBE-GGA.

abc: 6.7262 6.7262 6.7262
angles: 90.00 90.00 90.00
Space group F-43m (No. 216)
Inequivalent atoms, fractional coordinates:
Pm  0.0000  0.0000  0.0000 [4 per cell]
In  0.0000  0.0000  0.5000 [4 per cell]
Ni  0.2500  0.2500  0.7500 [4 per cell]
Ir  0.2500  0.2500  0.2500 [4 per cell]

## Properties
Calculated formation energy   -0.32 eV/atom
DOS(E_F)   0.81 states/eV per atom
Calculated density   11.1 Mg/m³
DFT total energy   -5.856 eV/atom
Total magnetization   0.0 μB per formula unit

(3)
A relaxed structure of InRe2NiIr, computed with PBE-GGA.

abc: 4.4319 4.4319 4.5475
angles: 90.00 90.00 90.00
Space group P4/mmm (No. 123)
Inequivalent atoms, fractional coordinates:
In  0.0000  0.0000  0.0000 [1 per cell]
Re  0.0000  0.5000  0.5000 [2 per cell]
Ni  0.0000  0.0000  0.5000 [1 per cell]
Ir  0.5000  0.5000  0.0000 [1 per cell]

## Properties
Calculated formation energy   1.59 eV/atom
DOS(E_F)   1.46 states/eV per atom
Calculated density   13.7 Mg/m³
DFT total energy   -6.870 eV/atom
Total magnetization   1.2 μB per formula unit